# 1
## Mg2BeC (PBE-GGA)

Data for Mg2BeC after structural relaxation.

Summary:
E above lowest polymorph ... 0.748 eV per atom
Energy relative to the elements ... 93 kJ per mole of atoms

Lattice parameters (Å, degrees): 4.201 4.201 4.201 60.00 60.00 60.00
Sites, in units of the cell vectors:
C 0.500 0.500 0.500
Mg 0.750 0.750 0.750
Mg 0.250 0.250 0.250
Be 0.000 0.000 0.000

=====

# 2
## ZrHg2OsBr (PBE-GGA)

Data for ZrHg2OsBr after structural relaxation.

Summary:
ΔE_f (raw) ... 1.02 eV/atom

Lattice parameters (Å, degrees): 5.782 4.916 5.782 90.00 90.00 90.00
Sites, in units of the cell vectors:
Br 0.500 0.500 0.500
Hg 0.500 0.000 0.000
Hg 0.000 0.000 0.500
Zr 0.000 0.000 0.000
Os 0.000 0.500 0.000

=====

# 3
## Pa2BeGa (PBE-GGA)

Data for Pa2BeGa after structural relaxation.

Summary:
E above lowest polymorph ... 0.094 eV per atom
Energy relative to the elements ... 8 kJ per mole of atoms

Lattice parameters (Å, degrees): 3.508 3.508 6.500 90.00 90.00 90.00
Sites, in units of the cell vectors:
Be 0.500 0.500 0.000
Pa 0.000 0.000 0.791
Pa 0.000 0.000 0.209
Ga 0.500 0.500 0.500

=====

# 4
## LiZn4Pt (PBE-GGA)

Data for LiZn4Pt after structural relaxation.

Summary:
E above lowest polymorph ... 0.055 eV per atom
Energy relative to the elements ... -29 kJ per mole of atoms

Lattice parameters (Å, degrees): 4.977 4.977 4.977 60.00 60.00 60.00
Sites, in units of the cell vectors:
Pt 0.000 0.000 0.000
Zn 0.625 0.625 0.625
Zn 0.625 0.124 0.625
Zn 0.625 0.625 0.124
Zn 0.124 0.625 0.625
Li 0.250 0.250 0.250

=====

# 5
## Rb2CdInBi2 (PBE-GGA)

Data for Rb2CdInBi2 after structural relaxation.

Summary:
Energy relative to the elements ... -30 kJ per mole of atoms

Lattice parameters (Å, degrees): 7.456 7.496 10.012 111.98 111.86 90.00
Sites, in units of the cell vectors:
In 0.000 0.750 0.000
In 0.000 0.250 0.000
Rb 0.083 0.334 0.669
Rb 0.586 0.834 0.669
Rb 0.917 0.666 0.331
Rb 0.414 0.166 0.331
Cd 0.500 0.750 0.000
Cd 0.500 0.250 0.000
Bi 0.644 0.400 0.801
Bi 0.157 0.900 0.801
Bi 0.356 0.600 0.199
Bi 0.843 0.100 0.199

=====

# 6
## K2ZrCl (PBE-GGA)

Data for K2ZrCl after structural relaxation.

Summary:
ΔE_f (raw) ... 0.08 eV/atom
E above lowest polymorph ... 0.358 eV per atom

Lattice parameters (Å, degrees): 11.906 11.906 8.791 47.37 47.37 90.00
Sites, in units of the cell vectors:
K 0.875 0.734 0.750
K 0.484 0.125 0.250
K 0.266 0.625 0.250
K 0.375 0.516 0.750
Zr 0.750 0.250 0.500
Zr 0.000 0.000 0.000
Cl 0.500 0.500 0.000
Cl 0.250 0.750 0.500

=====

| no. | total energy (eV per atom) |
| --- | --- |
| 1 | -3.07 |
| 2 | -3.39 |
| 3 | -6.35 |
| 4 | -2.47 |
| 5 | -2.53 |
| 6 | -3.07 |